1.
# Ca3ZnCd4O8, relaxed, DFT GGA-PBE
data_Ca3ZnCd4O8
_cell_length_a 11.6316
_cell_length_b 6.7125
_cell_length_c 6.6769
_cell_angle_alpha 90.00
_cell_angle_beta 124.29
_cell_angle_gamma 90.00
_space_group_name_H-M_alt 'C 1 2/m 1'
_space_group_IT_number 12
_space_group_name_Hall '-C 2y'
loop_
_atom_site_label
_atom_site_fract_x
_atom_site_fract_y
_atom_site_fract_z
Ca1 0.0000 0.0000 0.0000
Ca2 0.2500 0.2500 0.5000
Zn1 0.0000 0.5000 0.0000
Cd1 0.0000 0.0000 0.5000
Cd2 0.0000 0.5000 0.5000
Cd3 0.2500 0.2500 0.0000
O1 0.0015 0.2701 0.2315
O2 0.2348 0.0000 0.7336
O3 0.2463 0.0000 0.2495
# * total magnetic moment: 0.00 μB per formula unit
# * calculated total energy: -4.935 eV per atom
# * raw formation energy: -1.77 eV/atom

=====

2.
# Sm3SbPd12, relaxed, DFT GGA-PBE
data_Sm3SbPd12
_cell_length_a 4.1592
_cell_length_b 4.1592
_cell_length_c 16.4514
_cell_angle_alpha 90.00
_cell_angle_beta 90.00
_cell_angle_gamma 90.00
_space_group_name_H-M_alt 'P 4/m m m'
_space_group_IT_number 123
_space_group_name_Hall '-P 4 2'
loop_
_atom_site_label
_atom_site_fract_x
_atom_site_fract_y
_atom_site_fract_z
Sm1 0.0000 0.0000 0.0000
Sm2 0.0000 0.0000 0.2514
Sb1 0.0000 0.0000 0.5000
Pd1 0.0000 0.5000 0.1274
Pd2 0.0000 0.5000 0.3840
Pd3 0.5000 0.5000 0.0000
Pd4 0.5000 0.5000 0.2580
Pd5 0.5000 0.5000 0.5000
# * total magnetic moment: 0.00 μB per formula unit
# * calculated total energy: -5.741 eV per atom
# * raw formation energy: -0.70 eV/atom

=====

3.
# ZrTiAs, relaxed, DFT GGA-PBE
data_ZrTiAs
_cell_length_a 11.6164
_cell_length_b 3.5534
_cell_length_c 5.3925
_cell_angle_alpha 90.00
_cell_angle_beta 90.84
_cell_angle_gamma 90.00
_space_group_name_H-M_alt 'C 1 m 1'
_space_group_IT_number 8
_space_group_name_Hall 'C -2y'
loop_
_atom_site_label
_atom_site_fract_x
_atom_site_fract_y
_atom_site_fract_z
Zr1 0.0000 0.0000 0.0000
Zr2 0.2010 0.5000 0.2482
Ti1 0.1996 0.5000 0.7406
Ti2 0.3967 0.0000 0.4855
As1 0.0602 0.0000 0.5063
As2 0.3295 0.0000 0.9735
# * total magnetic moment: 0.00 μB per formula unit
# * calculated total energy: -7.807 eV per atom

=====

4.
# CaMg2Ta, relaxed, DFT GGA-PBE
data_CaMg2Ta
_cell_length_a 3.0420
_cell_length_b 4.7528
_cell_length_c 6.4142
_cell_angle_alpha 90.00
_cell_angle_beta 90.00
_cell_angle_gamma 90.00
_space_group_name_H-M_alt 'P m m 2'
_space_group_IT_number 25
_space_group_name_Hall 'P 2 -2'
loop_
_atom_site_label
_atom_site_fract_x
_atom_site_fract_y
_atom_site_fract_z
Ca1 0.0000 0.0000 0.0000
Mg1 0.0000 0.0000 0.5237
Mg2 0.5000 0.5000 0.2667
Ta1 0.5000 0.5000 0.7359
# * total magnetic moment: 0.00 μB per formula unit
# * calculated total energy: -3.784 eV per atom

=====

5.
# CsAc2Cl8, relaxed, DFT GGA-PBE
data_CsAc2Cl8
_cell_length_a 9.1103
_cell_length_b 14.4983
_cell_length_c 5.5841
_cell_angle_alpha 90.00
_cell_angle_beta 90.00
_cell_angle_gamma 90.00
_space_group_name_H-M_alt 'C m m m'
_space_group_IT_number 65
_space_group_name_Hall '-C 2 2'
loop_
_atom_site_label
_atom_site_fract_x
_atom_site_fract_y
_atom_site_fract_z
Cs1 0.0000 0.0000 0.0000
Ac1 0.0000 0.3038 0.5000
Cl1 0.0000 0.2564 0.0000
Cl2 0.0000 0.5000 0.2458
Cl3 0.1911 0.1358 0.5000
# * total magnetic moment: 0.00 μB per formula unit
# * calculated total energy: -4.318 eV per atom
# * raw formation energy: -2.15 eV/atom

=====

6.
# LaCeGd2, relaxed, DFT GGA-PBE
data_LaCeGd2
_cell_length_a 5.0916
_cell_length_b 5.0916
_cell_length_c 5.0622
_cell_angle_alpha 90.00
_cell_angle_beta 90.00
_cell_angle_gamma 90.00
_space_group_name_H-M_alt 'P 4/m m m'
_space_group_IT_number 123
_space_group_name_Hall '-P 4 2'
loop_
_atom_site_label
_atom_site_fract_x
_atom_site_fract_y
_atom_site_fract_z
La1 0.0000 0.0000 0.0000
Ce1 0.5000 0.5000 0.0000
Gd1 0.0000 0.5000 0.5000
# * energy above the most stable polymorph in this dataset: 0.09 eV/f.u.
# * total magnetic moment: 13.68 μB per formula unit
# * calculated total energy: -9.672 eV per atom

=====

7.
# Li2Ni4Sn3, relaxed, DFT GGA-PBE
data_Li2Ni4Sn3
_cell_length_a 5.8002
_cell_length_b 15.8102
_cell_length_c 6.6146
_cell_angle_alpha 90.00
_cell_angle_beta 90.00
_cell_angle_gamma 90.00
_space_group_name_H-M_alt 'C m c e'
_space_group_IT_number 64
_space_group_name_Hall '-C 2ac 2'
loop_
_atom_site_label
_atom_site_fract_x
_atom_site_fract_y
_atom_site_fract_z
Li1 0.0000 0.0844 0.0988
Ni1 0.0000 0.1614 0.4949
Ni2 0.2500 0.0832 0.7500
Sn1 0.0000 0.0000 0.5000
Sn2 0.2500 0.2501 0.2500
# * total magnetic moment: 0.00 μB per formula unit
# * calculated total energy: -4.482 eV per atom

=====

8.
# LaInFe2Hg, relaxed, DFT GGA-PBE
data_LaInFe2Hg
_cell_length_a 4.8234
_cell_length_b 4.8234
_cell_length_c 6.0135
_cell_angle_alpha 90.00
_cell_angle_beta 90.00
_cell_angle_gamma 90.00
_space_group_name_H-M_alt 'P 4/m m m'
_space_group_IT_number 123
_space_group_name_Hall '-P 4 2'
loop_
_atom_site_label
_atom_site_fract_x
_atom_site_fract_y
_atom_site_fract_z
La1 0.0000 0.0000 0.0000
In1 0.5000 0.5000 0.5000
Fe1 0.0000 0.5000 0.0000
Hg1 0.0000 0.0000 0.5000
# * total magnetic moment: 3.85 μB per formula unit
# * calculated total energy: -3.754 eV per atom

=====

9.
# CdRe2Pb, relaxed, DFT GGA-PBE
data_CdRe2Pb
_cell_length_a 3.0227
_cell_length_b 4.9468
_cell_length_c 10.9863
_cell_angle_alpha 90.00
_cell_angle_beta 90.00
_cell_angle_gamma 90.00
_space_group_name_H-M_alt 'C m m 2'
_space_group_IT_number 35
_space_group_name_Hall 'C 2 -2'
loop_
_atom_site_label
_atom_site_fract_x
_atom_site_fract_y
_atom_site_fract_z
Cd1 0.0000 0.0000 0.0000
Re1 0.0000 0.0000 0.5766
Re2 0.0000 0.5000 0.7647
Pb1 0.0000 0.5000 0.3280
# * energy above the most stable polymorph in this dataset: 1.38 eV/f.u.
# * total magnetic moment: 0.00 μB per formula unit
# * calculated total energy: -6.699 eV per atom

=====

10.
# Zr2Ru2Se, relaxed, DFT GGA-PBE
data_Zr2Ru2Se
_cell_length_a 7.3544
_cell_length_b 7.3544
_cell_length_c 3.4051
_cell_angle_alpha 90.00
_cell_angle_beta 90.00
_cell_angle_gamma 90.00
_space_group_name_H-M_alt 'P 4/m b m'
_space_group_IT_number 127
_space_group_name_Hall '-P 4 2ab'
loop_
_atom_site_label
_atom_site_fract_x
_atom_site_fract_y
_atom_site_fract_z
Zr1 0.1640 0.3360 0.0000
Ru1 0.1346 0.6346 0.5000
Se1 0.0000 0.0000 0.5000
# * energy above the most stable polymorph in this dataset: 0.00 eV/f.u.
# * total magnetic moment: 0.00 μB per formula unit
# * calculated total energy: -8.130 eV per atom
# * raw formation energy: -0.30 eV/atom

=====

11.
# InGaGe, relaxed, DFT GGA-PBE
data_InGaGe
_cell_length_a 5.0705
_cell_length_b 5.0705
_cell_length_c 18.5284
_cell_angle_alpha 90.00
_cell_angle_beta 90.00
_cell_angle_gamma 120.00
_space_group_name_H-M_alt 'R -3 m'
_space_group_IT_number 166
_space_group_name_Hall '-R 3 2"'
loop_
_atom_site_label
_atom_site_fract_x
_atom_site_fract_y
_atom_site_fract_z
In1 0.0000 0.0000 0.1025
Ga1 0.0000 0.0000 0.3963
Ge1 0.0000 0.0000 0.2547
# * total magnetic moment: 0.00 μB per formula unit
# * calculated total energy: -3.342 eV per atom

=====

12.
# Al3GaBi, relaxed, DFT GGA-PBE
data_Al3GaBi
_cell_length_a 5.5589
_cell_length_b 5.5589
_cell_length_c 5.5589
_cell_angle_alpha 90.00
_cell_angle_beta 90.00
_cell_angle_gamma 90.00
_space_group_name_H-M_alt 'P m -3 m'
_space_group_IT_number 221
_space_group_name_Hall '-P 4 2 3'
loop_
_atom_site_label
_atom_site_fract_x
_atom_site_fract_y
_atom_site_fract_z
Al1 0.0000 0.0000 0.5000
Ga1 0.5000 0.5000 0.5000
Bi1 0.0000 0.0000 0.0000
# * energy above the most stable polymorph in this dataset: 3.20 eV/f.u.
# * total magnetic moment: 0.00 μB per formula unit
# * calculated total energy: -2.581 eV per atom